Record 1
! Cd2InPb2 | Alexandria via LeMat-Bulk | meta-GGA SCAN | single point on PBEsol structure; values from VASP
! V = 264.0 Å³ per cell
! E_form = 0.4 eV/f.u.
&SYSTEM
  ibrav = 0, nat = 10, ntyp = 3
/
ATOMIC_SPECIES
Cd 112.41 Cd.upf
In 114.82 In.upf
Pb 207.20 Pb.upf
CELL_PARAMETERS angstrom
7.5250 0.0000 0.0000
0.0000 7.5250 0.0000
0.0000 0.0000 4.6615
ATOMIC_POSITIONS crystal
Cd 0.1332 0.3668 0.0000
Cd 0.3668 0.8668 0.0000
Cd 0.6332 0.1332 0.0000
Cd 0.8668 0.6332 0.0000
In 0.0000 0.0000 0.0000
In 0.5000 0.5000 0.0000
Pb 0.1706 0.6706 0.5000
Pb 0.3294 0.1706 0.5000
Pb 0.6706 0.8294 0.5000
Pb 0.8294 0.3294 0.5000


Record 2
! RbPtRh2O | Alexandria via LeMat-Bulk | meta-GGA SCAN | single point on PBEsol structure; values from VASP
! V = 144.5 Å³ per cell
! Formation energy from raw total energies = 1.17 eV/atom
&SYSTEM
  ibrav = 0, nat = 5, ntyp = 4
/
ATOMIC_SPECIES
Rb 85.47 Rb.upf
Pt 195.08 Pt.upf
Rh 102.91 Rh.upf
O 16.00 O.upf
CELL_PARAMETERS angstrom
4.6523 0.0000 0.0000
0.0000 4.6523 0.0000
0.0000 0.0000 6.6762
ATOMIC_POSITIONS crystal
Rb 0.0000 0.0000 0.0000
Pt 0.0000 0.0000 0.5000
Rh 0.0000 0.5000 0.5000
Rh 0.5000 0.0000 0.5000
O 0.5000 0.5000 0.0000


Record 3
! Au3F8 | Alexandria via LeMat-Bulk | meta-GGA SCAN | single point on PBEsol structure; values from VASP
! V = 326.6 Å³ per cell
! Formation energy from raw total energies = -1.08 eV/atom
&SYSTEM
  ibrav = 0, nat = 22, ntyp = 2
/
ATOMIC_SPECIES
Au 196.97 Au.upf
F 19.00 F.upf
CELL_PARAMETERS angstrom
5.4104 0.0000 0.0000
0.0000 10.6179 0.0000
-5.3311 0.0000 5.6853
ATOMIC_POSITIONS crystal
Au 0.0000 0.0000 0.0000
Au 0.0000 0.5000 0.5000
Au 0.1308 0.1771 0.4557
Au 0.1308 0.3229 0.9557
Au 0.8692 0.6771 0.0443
Au 0.8692 0.8229 0.5443
F 0.0762 0.6596 0.7016
F 0.0762 0.8404 0.2016
F 0.1629 0.5911 0.3526
F 0.1629 0.9089 0.8526
F 0.3447 0.0197 0.6114
F 0.3447 0.4803 0.1114
F 0.3932 0.2326 0.2472
F 0.3932 0.2674 0.7472
F 0.6068 0.7326 0.2528
F 0.6068 0.7674 0.7528
F 0.6553 0.5197 0.8886
F 0.6553 0.9803 0.3886
F 0.8371 0.0911 0.1474
F 0.8371 0.4089 0.6474
F 0.9238 0.1596 0.7984
F 0.9238 0.3404 0.2984


Record 4
! ErAs3 | Alexandria via LeMat-Bulk | meta-GGA SCAN | single point on PBEsol structure; values from VASP
! V = 159.8 Å³ per cell
! E_form = -2.1 eV/f.u.
&SYSTEM
  ibrav = 0, nat = 8, ntyp = 2
/
ATOMIC_SPECIES
Er 167.26 Er.upf
As 74.92 As.upf
CELL_PARAMETERS angstrom
5.8427 0.0000 0.0000
-2.9213 5.0599 0.0000
0.0000 0.0000 5.4047
ATOMIC_POSITIONS crystal
Er 0.3333 0.6667 0.2500
Er 0.6667 0.3333 0.7500
As 0.1784 0.3567 0.7500
As 0.1784 0.8216 0.7500
As 0.3567 0.1784 0.2500
As 0.6433 0.8216 0.7500
As 0.8216 0.1784 0.2500
As 0.8216 0.6433 0.2500


Record 5
! YMo2 | Alexandria via LeMat-Bulk | meta-GGA SCAN | single point on PBEsol structure; values from VASP
! V = 107.8 Å³ per cell
! E_form = 1.7 eV/f.u.
&SYSTEM
  ibrav = 0, nat = 6, ntyp = 2
/
ATOMIC_SPECIES
Y 88.91 Y.upf
Mo 95.94 Mo.upf
CELL_PARAMETERS angstrom
1.6117 -6.9296 0.0000
1.6117 6.9296 0.0000
0.0000 0.0000 4.8280
ATOMIC_POSITIONS crystal
Y 0.1588 0.8412 0.0000
Y 0.8412 0.1588 0.0000
Mo 0.0000 0.0000 0.5000
Mo 0.3321 0.6679 0.5000
Mo 0.5000 0.5000 0.0000
Mo 0.6679 0.3321 0.5000


Record 6
! Mg2CrCd | Alexandria via LeMat-Bulk | meta-GGA SCAN | single point on PBEsol structure; values from VASP
! V = 70.9 Å³ per cell
! E_form = 0.9 eV/f.u.
&SYSTEM
  ibrav = 0, nat = 4, ntyp = 3
/
ATOMIC_SPECIES
Mg 24.30 Mg.upf
Cr 52.00 Cr.upf
Cd 112.41 Cd.upf
CELL_PARAMETERS angstrom
1.7822 -2.1777 0.0000
1.7822 2.1777 0.0000
0.0000 0.0000 9.1385
ATOMIC_POSITIONS crystal
Mg 0.0000 0.0000 0.0000
Mg 0.5000 0.5000 0.2845
Cr 0.0000 0.0000 0.5049
Cd 0.5000 0.5000 0.7336


Record 7
! CrPbCl2 | Alexandria via LeMat-Bulk | meta-GGA SCAN | single point on PBEsol structure; values from VASP
! E above lowest polymorph = 0.4960 eV/atom
! V = 87.9 Å³ per cell
! Formation energy from raw total energies = -0.29 eV/atom
&SYSTEM
  ibrav = 0, nat = 4, ntyp = 3
/
ATOMIC_SPECIES
Cr 52.00 Cr.upf
Pb 207.20 Pb.upf
Cl 35.45 Cl.upf
CELL_PARAMETERS angstrom
0.0000 3.5293 3.5293
3.5293 0.0000 3.5293
3.5293 3.5293 0.0000
ATOMIC_POSITIONS crystal
Cr 0.0000 0.0000 0.0000
Pb 0.5000 0.5000 0.5000
Cl 0.2500 0.2500 0.2500
Cl 0.7500 0.7500 0.7500


Record 8
! YAg3Br | Alexandria via LeMat-Bulk | meta-GGA SCAN | single point on PBEsol structure; values from VASP
! V = 128.8 Å³ per cell
! Formation energy from raw total energies = 0.68 eV/atom
&SYSTEM
  ibrav = 0, nat = 5, ntyp = 3
/
ATOMIC_SPECIES
Y 88.91 Y.upf
Ag 107.87 Ag.upf
Br 79.90 Br.upf
CELL_PARAMETERS angstrom
5.0505 0.0000 0.0000
0.0000 5.0505 0.0000
0.0000 0.0000 5.0505
ATOMIC_POSITIONS crystal
Y 0.0000 0.0000 0.0000
Ag 0.0000 0.5000 0.5000
Ag 0.5000 0.0000 0.5000
Ag 0.5000 0.5000 0.0000
Br 0.5000 0.5000 0.5000


Record 9
! Mn2CoAu | Alexandria via LeMat-Bulk | meta-GGA SCAN | single point on PBEsol structure; values from VASP
! E above lowest polymorph = 0.5000 eV/atom
! V = 49.9 Å³ per cell
! E_form = 0.5 eV/f.u.
&SYSTEM
  ibrav = 0, nat = 4, ntyp = 3
/
ATOMIC_SPECIES
Mn 54.94 Mn.upf
Co 58.93 Co.upf
Au 196.97 Au.upf
CELL_PARAMETERS angstrom
1.3192 0.7616 8.2781
-1.3192 0.7616 8.2781
0.0000 -1.5233 8.2781
ATOMIC_POSITIONS crystal
Mn 0.0000 0.0000 0.0000
Mn 0.2603 0.2603 0.2603
Co 0.7425 0.7425 0.7425
Au 0.5003 0.5003 0.5003


Record 10
! Mo5Pt4 | Alexandria via LeMat-Bulk | meta-GGA SCAN | single point on PBEsol structure; values from VASP
! V = 135.0 Å³ per cell
! E_form = -2.5 eV/f.u.
&SYSTEM
  ibrav = 0, nat = 9, ntyp = 2
/
ATOMIC_SPECIES
Mo 95.94 Mo.upf
Pt 195.08 Pt.upf
CELL_PARAMETERS angstrom
-4.1758 4.1758 1.9355
4.1758 -4.1758 1.9355
4.1758 4.1758 -1.9355
ATOMIC_POSITIONS crystal
Mo 0.0000 0.0000 0.0000
Mo 0.3289 0.3289 0.6578
Mo 0.3289 0.6711 0.0000
Mo 0.6711 0.3289 0.0000
Mo 0.6711 0.6711 0.3422
Pt 0.0000 0.3265 0.3265
Pt 0.0000 0.6735 0.6735
Pt 0.3265 0.0000 0.3265
Pt 0.6735 0.0000 0.6735


Record 11
! NaZn2CdF7 | Alexandria via LeMat-Bulk | meta-GGA SCAN | single point on PBEsol structure; values from VASP
! V = 274.7 Å³ per cell
! Formation energy from raw total energies = -2.55 eV/atom
&SYSTEM
  ibrav = 0, nat = 22, ntyp = 4
/
ATOMIC_SPECIES
Na 22.99 Na.upf
Zn 65.41 Zn.upf
Cd 112.41 Cd.upf
F 19.00 F.upf
CELL_PARAMETERS angstrom
-3.6137 3.6752 5.1713
3.6137 -3.6752 5.1713
3.6137 3.6752 -5.1713
ATOMIC_POSITIONS crystal
Na 0.5000 0.0000 0.0000
Na 0.5000 0.5000 0.5000
Zn 0.0000 0.0000 0.0000
Zn 0.0000 0.0000 0.5000
Zn 0.0000 0.5000 0.0000
Zn 0.5000 0.0000 0.5000
Cd 0.0000 0.5000 0.5000
Cd 0.5000 0.5000 0.0000
F 0.0791 0.3393 0.1731
F 0.0791 0.9061 0.7399
F 0.0868 0.3368 0.7500
F 0.3270 0.0770 0.2500
F 0.3338 0.0939 0.6731
F 0.3338 0.6607 0.2399
F 0.3658 0.6158 0.7500
F 0.6342 0.3842 0.2500
F 0.6662 0.3393 0.7601
F 0.6662 0.9061 0.3269
F 0.6730 0.9230 0.7500
F 0.9132 0.6632 0.2500
F 0.9209 0.0939 0.2601
F 0.9209 0.6607 0.8269


Record 12
! Ag6Pt5 | Alexandria via LeMat-Bulk | meta-GGA SCAN | single point on PBEsol structure; values from VASP
! E above lowest polymorph = 0.0394 eV/atom
! V = 172.8 Å³ per cell
! E_form = 0.4 eV/f.u.
&SYSTEM
  ibrav = 0, nat = 11, ntyp = 2
/
ATOMIC_SPECIES
Ag 107.87 Ag.upf
Pt 195.08 Pt.upf
CELL_PARAMETERS angstrom
4.8946 0.0000 0.0000
-0.7660 6.2170 0.0000
-1.6424 -2.1064 5.6790
ATOMIC_POSITIONS crystal
Ag 0.0000 0.0000 0.0000
Ag 0.0881 0.8185 0.3640
Ag 0.1763 0.6399 0.7277
Ag 0.2656 0.4542 0.0915
Ag 0.5433 0.9110 0.1808
Ag 0.9092 0.1799 0.6304
Pt 0.3596 0.2791 0.4558
Pt 0.4658 0.0961 0.8124
Pt 0.6308 0.7224 0.5524
Pt 0.7170 0.5382 0.9068
Pt 0.8041 0.3669 0.2675


Record 13
! RbAl3Pb | Alexandria via LeMat-Bulk | meta-GGA SCAN | single point on PBEsol structure; values from VASP
! V = 174.6 Å³ per cell
! E_form = 8.4 eV/f.u.
&SYSTEM
  ibrav = 0, nat = 5, ntyp = 3
/
ATOMIC_SPECIES
Rb 85.47 Rb.upf
Al 26.98 Al.upf
Pb 207.20 Pb.upf
CELL_PARAMETERS angstrom
5.5894 0.0000 0.0000
0.0000 5.5894 0.0000
0.0000 0.0000 5.5894
ATOMIC_POSITIONS crystal
Rb 0.0000 0.0000 0.0000
Al 0.0000 0.0000 0.5000
Al 0.0000 0.5000 0.0000
Al 0.5000 0.0000 0.0000
Pb 0.5000 0.5000 0.5000